# 1
DFT (PBE) results for a relaxed Er4TmCu crystal.

Computed properties:
symmetry: P4/mmm
formation enthalpy at 0 K: -1.4 kcal/mol of atoms

a b c (Å): 3.457 3.457 13.619
angles (deg): 90.00 90.00 90.00
Element x y z (fractional)
Er (0.500, 0.500, 0.817)
Er (0.000, 0.000, 0.375)
Er (0.500, 0.500, 0.183)
Er (0.000, 0.000, 0.625)
Cu (0.500, 0.500, 0.500)
Tm (0.000, 0.000, 0.000)


# 2
DFT (PBE) results for a relaxed Er2TmCu crystal.

Computed properties:
symmetry: P4/mmm
formation enthalpy at 0 K: -2.4 kcal/mol of atoms
distance to the lowest polymorph of the same formula: 0.019 eV per atom

a b c (Å): 3.445 3.445 8.588
angles (deg): 90.00 90.00 90.00
Element x y z (fractional)
Er (0.000, 0.000, 0.200)
Er (0.000, 0.000, 0.800)
Cu (0.500, 0.500, 0.000)
Tm (0.500, 0.500, 0.500)


# 3
DFT (PBE) results for a relaxed Er2TmCu crystal.

Computed properties:
symmetry: R3m
formation enthalpy at 0 K: 0.5 kcal/mol of atoms
distance to the lowest polymorph of the same formula: 0.144 eV per atom

a b c (Å): 3.597 3.597 9.807
angles (deg): 79.43 79.43 60.00
Site moments in Bohr magnetons follow the coordinates.
Element x y z (fractional)
Tm (0.501, 0.501, 0.498)  0.28
Er (0.265, 0.265, 0.204)  0.09
Er (0.068, 0.068, 0.796)  0.07
Cu (0.666, 0.666, 0.002)  0.00


# 4
DFT (PBE) results for a relaxed Er2TmCu4 crystal.

Computed properties:
symmetry: I4/mmm
formation enthalpy at 0 K: -0.8 kcal/mol of atoms

a b c (Å): 5.032 5.032 6.735
angles (deg): 111.94 111.94 90.00
Element x y z (fractional)
Tm (0.000, 0.000, 0.000)
Er (0.286, 0.286, 0.572)
Er (0.714, 0.714, 0.428)
Cu (0.617, 0.117, 0.234)
Cu (0.883, 0.383, 0.766)
Cu (0.117, 0.617, 0.234)
Cu (0.383, 0.883, 0.766)


# 5
DFT (PBE) results for a relaxed Er2TmCu9 crystal.

Computed properties:
symmetry: R-3m
formation enthalpy at 0 K: -5.0 kcal/mol of atoms

a b c (Å): 5.112 5.112 8.819
angles (deg): 73.15 73.15 60.00
Element x y z (fractional)
Er (0.860, 0.860, 0.421)
Er (0.140, 0.140, 0.579)
Cu (0.082, 0.582, 0.754)
Cu (0.667, 0.667, 0.998)
Cu (0.582, 0.582, 0.754)
Cu (0.418, 0.418, 0.246)
Cu (0.418, 0.918, 0.246)
Cu (0.333, 0.333, 0.002)
Cu (0.582, 0.082, 0.754)
Cu (0.500, 0.500, 0.500)
Cu (0.918, 0.418, 0.246)
Tm (0.000, 0.000, 0.000)


# 6
DFT (PBE) results for a relaxed Er3Tm2Cu3 crystal.

Computed properties:
symmetry: Immm
formation enthalpy at 0 K: -4.0 kcal/mol of atoms

a b c (Å): 3.483 5.046 10.771
angles (deg): 103.55 99.30 90.00
Element x y z (fractional)
Cu (0.115, 0.115, 0.230)
Cu (0.885, 0.885, 0.770)
Cu (0.000, 0.500, 0.000)
Er (0.383, 0.383, 0.767)
Er (0.617, 0.617, 0.233)
Er (0.500, 0.000, 0.000)
Tm (0.274, 0.774, 0.548)
Tm (0.726, 0.226, 0.452)